The following is a DFT calculation (PBE) of LiGeBiO4 after structural relaxation.

V ... 13.75 A^3/atom
E_form (uncorrected) ... -1.60 eV per atom
Calculated density ... 6080 kg/m³

Cell and atoms, written as CIF:
```
data_LiGeBiO4
_symmetry_space_group_name_H-M 'C m c m'
_symmetry_Int_Tables_number 63
_symmetry_space_group_name_Hall '-C 2c 2'
_cell_length_a 6.136
_cell_length_b 9.167
_cell_length_c 6.846
_cell_angle_alpha 90.00
_cell_angle_beta 90.00
_cell_angle_gamma 90.00
loop_
_atom_site_label
_atom_site_type_symbol
_atom_site_fract_x
_atom_site_fract_y
_atom_site_fract_z
_atom_site_occupancy
Li1 Li 0.000 0.156 0.250 1
Ge1 Ge 0.000 0.147 0.750 1
Bi1 Bi 0.000 0.500 0.000 1
O1 O 0.000 0.245 0.529 1
O2 O 0.225 0.017 0.750 1
```